[1]
## Pr2Cd3Cu (PBE)

Data for crystalline Pr2Cd3Cu at its relaxed geometry.

Structure (POSCAR):
```
Pr2Cd3Cu
1.0
3.510 0.000 0.000
0.000 4.953 0.000
0.000 0.000 8.604
Cd Cu Pr
3 1 2
Cartesian
1.755 0.000 1.483 Cd
1.755 2.476 5.659 Cd
1.755 0.000 7.157 Cd
1.755 2.476 2.863 Cu
0.000 0.000 4.189 Pr
0.000 2.476 0.158 Pr
```

Results
The value obtained for the total magnetic moment is 0.0 μB per formula unit. The total DFT energy (no corrections) comes out at -2.998 eV per atom. As for the crystal system: orthorhombic.

---

[2]
## PrCd3Cu8 (PBE)

Data for crystalline PrCd3Cu8 at its relaxed geometry.

Structure (POSCAR):
```
PrCd3Cu8
1.0
-2.168 0.084 4.600
2.764 1.218 4.092
-1.794 8.616 1.808
Cu Pr Cd
8 1 3
Cartesian
-2.074 6.574 7.337 Cu
1.331 2.713 6.201 Cu
-1.143 2.144 6.456 Cu
-0.676 4.026 2.419 Cu
-0.684 7.186 9.395 Cu
0.407 7.144 7.081 Cu
-1.267 8.951 7.674 Cu
-0.056 2.102 4.148 Cu
-0.147 4.352 8.286 Pr
-0.653 5.181 5.221 Cd
-1.355 8.062 4.837 Cd
-1.768 8.511 1.822 Cd
```

Results
The value obtained for the total magnetic moment is 0.0 μB per formula unit. The energy above the most stable polymorph in this dataset comes out at 0.000 eV per atom. As for the crystal system: trigonal.

---

[3]
## PrCd4Cu4 (PBE)

Data for crystalline PrCd4Cu4 at its relaxed geometry.

Structure (POSCAR):
```
PrCd4Cu4
1.0
-0.697 2.515 -3.873
6.777 -4.124 -3.896
-5.518 -6.202 -3.034
Pr Cu Cd
2 8 8
Cartesian
0.281 -3.906 -5.402 Pr
0.000 0.000 0.000 Pr
1.415 -6.520 -4.492 Cu
0.439 -0.104 -2.957 Cu
-0.158 -3.802 -2.445 Cu
4.750 -3.670 -6.057 Cu
1.612 -1.846 -7.114 Cu
-1.745 -3.455 -7.556 Cu
0.125 -7.712 -7.840 Cu
-4.189 -4.137 -4.753 Cu
-1.281 -5.628 -9.048 Cd
-2.763 -4.409 -2.372 Cd
-2.474 -5.699 -6.064 Cd
3.038 -2.118 -4.731 Cd
4.020 -5.912 -4.567 Cd
-1.563 -1.716 -3.655 Cd
1.148 0.325 -5.620 Cd
2.124 -6.089 -7.157 Cd
```

Results
The value obtained for the total magnetic moment is 0.0 μB per formula unit. The total DFT energy (no corrections) comes out at -2.714 eV per atom. As for the crystal system: tetragonal.

---

[4]
## PrCd11Cu (PBE)

Data for crystalline PrCd11Cu at its relaxed geometry.

Structure (POSCAR):
```
PrCd11Cu
1.0
0.162 -5.785 -0.791
1.948 -1.825 -7.092
6.870 -2.960 1.487
Cd Pr Cu
11 1 1
Cartesian
7.067 -7.818 -4.912 Cd
3.157 -5.363 -2.533 Cd
0.974 -0.912 -3.546 Cd
1.913 -2.751 -1.485 Cd
3.435 -1.480 0.743 Cd
5.369 -8.276 -2.337 Cd
3.516 -4.372 0.348 Cd
5.823 -5.207 -3.864 Cd
3.036 -4.887 -5.612 Cd
3.611 -2.293 -4.059 Cd
5.944 -5.683 -0.785 Cd
0.000 0.000 0.000 Pr
1.055 -3.805 -3.942 Cu
```

Results
The value obtained for the total magnetic moment is 0.0 μB per formula unit. The total DFT energy (no corrections) comes out at -1.570 eV per atom. As for the crystal system: monoclinic.

---

[5]
## Pr5Cd4Cu (PBE)

Data for crystalline Pr5Cd4Cu at its relaxed geometry.

Structure (POSCAR):
```
Pr5Cd4Cu
1.0
-1.458 0.781 -3.425
2.436 -2.447 -1.596
-12.974 -14.383 2.244
Pr Cd Cu
5 4 1
Cartesian
-8.669 -10.985 -0.926 Pr
-3.327 -5.063 -1.850 Pr
-5.998 -8.024 -1.388 Pr
-11.357 -13.965 -0.461 Pr
-0.639 -2.083 -2.315 Pr
-5.152 -5.711 0.891 Cd
-7.822 -8.672 1.353 Cd
-10.481 -11.619 1.813 Cd
-2.492 -2.763 0.431 Cd
0.000 0.000 0.000 Cu
```

Results
The value obtained for the total magnetic moment is 0.2 μB per formula unit. The total DFT energy (no corrections) comes out at -3.437 eV per atom. As for the crystal system: tetragonal.

---

[6]
## Pr2CdCu9 (PBE)

Data for crystalline Pr2CdCu9 at its relaxed geometry.

Structure (POSCAR):
```
Pr2CdCu9
1.0
-1.499 2.136 -4.458
-3.991 -1.993 -2.606
-7.105 5.117 1.849
Cu Cd Pr
9 1 2
Cartesian
-6.298 2.630 -2.608 Cu
-10.753 5.201 -2.870 Cu
-5.994 0.283 -3.835 Cu
-6.602 4.978 -1.381 Cu
-4.750 2.344 -4.759 Cu
-8.594 3.983 -2.681 Cu
-1.842 0.060 -2.345 Cu
-4.001 1.278 -2.534 Cu
-7.845 2.917 -0.456 Cu
0.000 0.000 0.000 Cd
-4.969 3.065 0.147 Pr
-7.626 2.196 -5.362 Pr
```

Results
The value obtained for the total magnetic moment is 0.0 μB per formula unit. The total DFT energy (no corrections) comes out at -3.988 eV per atom. As for the crystal system: trigonal.

---

[7]
## Pr12CdCu6 (PBE)

Data for crystalline Pr12CdCu6 at its relaxed geometry.

Structure (POSCAR):
```
Pr12CdCu6
1.0
8.914 0.000 0.000
-2.971 8.404 0.000
-2.971 -4.202 7.278
Pr Cu Cd
12 6 1
Cartesian
2.894 0.317 2.180 Pr
-0.666 0.471 3.545 Pr
3.048 6.674 1.364 Pr
6.019 2.047 0.816 Pr
0.666 3.305 1.364 Pr
5.276 -1.368 5.098 Pr
-3.048 2.155 6.462 Pr
2.305 0.897 5.914 Pr
0.077 3.885 5.098 Pr
-0.077 -2.472 5.914 Pr
-2.305 5.570 2.180 Pr
3.637 3.731 3.733 Pr
-2.256 3.113 3.639 Cu
-0.716 0.506 6.402 Cu
2.256 -1.595 4.515 Cu
3.687 3.696 0.876 Cu
5.227 1.089 3.639 Cu
0.716 5.797 2.763 Cu
0.000 0.000 0.000 Cd
```

Results
The value obtained for the total magnetic moment is 0.0 μB per formula unit. The total DFT energy (no corrections) comes out at -4.449 eV per atom. As for the crystal system: cubic.

---

[8]
## Pr8Cd2Cu (PBE)

Data for crystalline Pr8Cd2Cu at its relaxed geometry.

Structure (POSCAR):
```
Pr8Cd2Cu
1.0
-2.894 -4.189 1.783
5.143 -1.623 4.535
-4.045 7.946 3.942
Cu Pr Cd
1 8 2
Cartesian
-1.447 -2.095 0.891 Cu
-1.661 3.893 6.452 Pr
-5.582 3.182 6.577 Pr
-1.083 0.243 6.976 Pr
-0.135 -1.760 3.808 Pr
1.818 -1.858 6.749 Pr
-3.614 3.992 3.511 Pr
3.786 -1.048 3.683 Pr
-0.713 1.890 3.284 Pr
1.716 0.993 5.118 Cd
-3.512 1.141 5.142 Cd
```

Results
The value obtained for the total magnetic moment is 0.0 μB per formula unit. The total DFT energy (no corrections) comes out at -4.107 eV per atom. As for the crystal system: monoclinic.

---

[9]
## Pr2CdCu2Pt5 (PBE)

Data for crystalline Pr2CdCu2Pt5 at its relaxed geometry.

Structure (POSCAR):
```
Pr2CdCu2Pt5
1.0
-2.637 0.771 -2.913
-1.935 -9.353 -0.725
-6.944 0.931 6.532
Pt Pr Cd Cu
10 4 2 4
Cartesian
-7.353 -4.263 2.775 Pt
-4.163 -3.388 0.119 Pt
-9.319 -6.128 4.061 Pt
-2.286 -4.291 -1.819 Pt
-6.929 0.486 3.649 Pt
-5.821 -1.790 2.043 Pt
-5.695 -5.861 0.852 Pt
-2.197 -1.523 -1.166 Pt
-4.587 -8.137 -0.755 Pt
-4.790 0.851 1.810 Pt
-2.551 -6.179 0.673 Pr
-2.579 -1.369 1.972 Pr
-6.300 -7.054 3.836 Pr
-6.328 -2.244 5.134 Pr
0.000 0.000 0.000 Cd
-4.440 -4.211 2.904 Cd
-4.356 -7.890 1.854 Cu
-7.318 -4.964 5.310 Cu
-4.523 -0.532 3.954 Cu
-1.561 -3.459 0.497 Cu
```

Results
The value obtained for the total magnetic moment is 0.0 μB per formula unit. The total DFT energy (no corrections) comes out at -5.589 eV per atom. As for the crystal system: tetragonal.

---

[10]
## PrCdCuPt (PBE)

Data for crystalline PrCdCuPt at its relaxed geometry.

Structure (POSCAR):
```
PrCdCuPt
1.0
4.903 0.000 0.000
2.452 4.246 0.000
2.452 1.415 4.004
Cd Cu Pr Pt
1 1 1 1
Cartesian
0.000 0.000 0.000 Cd
2.452 1.415 1.001 Cu
4.903 2.831 2.002 Pr
7.355 4.246 3.003 Pt
```

Results
The value obtained for the total magnetic moment is 0.0 μB per formula unit. The total DFT energy (no corrections) comes out at -4.411 eV per atom. As for the crystal system: cubic.

---

[11]
## PrPuCdCu (PBE)

Data for crystalline PrPuCdCu at its relaxed geometry.

Structure (POSCAR):
```
PrPuCdCu
1.0
-3.587 -3.322 1.933
-1.531 -4.156 -2.833
1.423 -4.846 1.461
Cu Pr Cd Pu
1 1 1 1
Cartesian
-0.924 -3.081 0.140 Cu
0.000 0.000 0.000 Pr
-2.772 -9.243 0.420 Cd
-1.848 -6.162 0.280 Pu
```

Results
The value obtained for the total magnetic moment is 6.3 μB per formula unit. The total DFT energy (no corrections) comes out at -5.998 eV per atom. As for the crystal system: cubic.

---

[12]
## PrCdCuRh (PBE)

Data for crystalline PrCdCuRh at its relaxed geometry.

Structure (POSCAR):
```
PrCdCuRh
1.0
-2.949 -3.787 0.708
-0.247 -2.099 4.367
-3.990 0.506 2.712
Cd Rh Pr Cu
1 1 1 1
Cartesian
0.000 0.000 0.000 Cd
-1.796 -1.345 1.947 Rh
-3.593 -2.690 3.893 Pr
-5.389 -4.035 5.840 Cu
```

Results
The value obtained for the total magnetic moment is 0.0 μB per formula unit. The total DFT energy (no corrections) comes out at -4.528 eV per atom. As for the crystal system: cubic.

---

- What is the formula in the eleventh record?
  PrPuCdCu